Density functional theory data (PBE-GGA) for a relaxed structure of CeY8Tm2.

abc: 13.5466 6.6666 9.6928
angles: 90.00 122.51 90.00
Space group C2/m (No. 12)
Inequivalent atoms, fractional coordinates:
1 Ce 0.0000 0.0000 0.0000 (multiplicity 2)
2 Y 0.1187 0.2469 0.4799 (multiplicity 8)
3 Y 0.1222 0.0000 0.8009 (multiplicity 4)
4 Y 0.1272 0.5000 0.1715 (multiplicity 4)
5 Tm 0.1453 0.5000 0.8153 (multiplicity 4)

Properties
The total moment comes out at 0.1871 μB/atom. Its formation energy is 0.315 eV/atom.